Entry 1:
Material: CuOsAu2
Method: DFT, GGA-PBEsol
State: relaxed

ΔE to the lowest computed polymorph (meV per atom): 175
N(E_F) (states/eV/atom): 1.260
Space group: No. 123
E_form (meV/atom): 591.6
Density (kg/m3): 18041

Structure (POSCAR):
```
CuOsAu2
1.0
4.016 0.000 0.000
0.000 3.853 0.000
0.000 0.000 3.853
Au Cu Os
2 1 1
Cartesian
0.000 0.000 1.926
0.000 1.926 0.000
2.008 1.926 1.926
2.008 0.000 0.000
```


Entry 2:
Material: CuOs2Au
Method: DFT, GGA-PBEsol
State: relaxed

ΔE to the lowest computed polymorph (meV per atom): 170
N(E_F) (states/eV/atom): 0.694
Space group: No. 8
E_form (meV/atom): 416.8
Density (kg/m3): 18696

Structure (POSCAR):
```
CuOs2Au
1.0
2.730 0.000 0.000
-1.365 4.436 -0.007
0.000 -0.752 4.703
Au Cu Os
1 1 2
Cartesian
1.365 -0.356 2.229
1.365 2.005 1.227
1.365 3.679 4.572
0.000 1.663 3.715
```


Entry 3:
Material: CuOsAu2
Method: DFT, GGA-PBEsol
State: relaxed

ΔE to the lowest computed polymorph (meV per atom): 0
N(E_F) (states/eV/atom): 0.464
Space group: No. 123
E_form (meV/atom): 416.3
Density (kg/m3): 17757

Structure (POSCAR):
```
CuOsAu2
1.0
-1.717 0.902 1.843
-0.596 -4.435 1.616
3.600 0.627 3.048
Au Cu Os
2 1 1
Cartesian
1.800 0.314 1.524
-0.298 -2.218 0.808
0.643 -1.453 3.253
-0.859 0.451 0.921
```


Entry 4:
Material: CuOs2Au
Method: DFT, GGA-PBEsol
State: relaxed

ΔE to the lowest computed polymorph (meV per atom): 409
N(E_F) (states/eV/atom): 1.066
Space group: No. 139
E_form (meV/atom): 656.7
Density (kg/m3): 18844

Structure (POSCAR):
```
CuOs2Au
1.0
-1.458 -2.165 2.691
3.361 -1.563 0.564
-0.097 4.685 1.104
Au Cu Os
1 1 2
Cartesian
0.951 -1.864 1.627
0.000 0.000 0.000
-0.302 0.328 2.711
2.107 0.628 1.648
```